## 1
VASP calculation (GGA-PBE) on a relaxed CeScInRu crystal.

Output
The magnetization is 0.035 μB/atom.

Unit cell a=3.281 b=3.281 c=8.074 alpha=90.00 beta=90.00 gamma=90.00
Space group P4mm (No. 99)
Symmetry-distinct sites (fractional):
1 Ce 0.000 0.000 0.000 x1
2 Sc 0.000 0.000 0.586 x1
3 In 0.500 0.500 0.315 x1
4 Ru 0.500 0.500 0.772 x1

## 2
VASP calculation (GGA-PBE) on a relaxed CeScInRu crystal.

Output
The magnetization is 0.095 μB/atom.

Unit cell a=7.059 b=7.059 c=7.059 alpha=90.00 beta=90.00 gamma=90.00
Space group F-43m (No. 216)
Symmetry-distinct sites (fractional):
1 Ce 0.000 0.000 0.000 x4
2 Sc 0.000 0.000 0.500 x4
3 In 0.250 0.250 0.250 x4
4 Ru 0.250 0.250 0.750 x4

The relative energies come out as 1 0; 2 239, with values in meV/atom.

## 1
VASP calculation (GGA-PBE) on a relaxed CeIn2Sb crystal.

Output
The magnetization is 0.282 μB/atom.

Unit cell a=3.3343 b=3.3343 c=36.1059 alpha=90.00 beta=90.00 gamma=120.00
Space group R-3m (No. 166, hexagonal axes)
Symmetry-distinct sites (fractional):
1 Ce 0.0000 0.0000 0.0000 x3
2 In 0.0000 0.0000 0.0897 x6
3 Sb 0.0000 0.0000 0.5000 x3

## 2
VASP calculation (GGA-PBE) on a relaxed CeIn2Sb crystal.

Output
The magnetization is 0.177 μB/atom.

Unit cell a=4.586 b=4.586 c=5.003 alpha=90.00 beta=90.00 gamma=90.00
Space group P4/mmm (No. 123)
Symmetry-distinct sites (fractional):
1 Ce 0.000 0.000 0.000 x1
2 In 0.000 0.500 0.500 x2
3 Sb 0.500 0.500 0.000 x1

The relative energies come out as 1 694; 2 0, with values in meV/atom.

## 1
VASP calculation (GGA-PBE) on a relaxed Ce2InSb crystal.

Output
The magnetization is 0.426 μB/atom.

Unit cell a=4.3002 b=4.3002 c=24.4238 alpha=90.00 beta=90.00 gamma=120.00
Space group R-3m (No. 166, hexagonal axes)
Symmetry-distinct sites (fractional):
1 Ce 0.0000 0.0000 0.2451 x6
2 In 0.0000 0.0000 0.0000 x3
3 Sb 0.0000 0.0000 0.5000 x3

## 2
VASP calculation (GGA-PBE) on a relaxed Ce2InSb crystal.

Output
The magnetization is 0.542 μB/atom.

Unit cell a=4.993 b=4.993 c=4.444 alpha=90.00 beta=90.00 gamma=90.00
Space group P4/mmm (No. 123)
Symmetry-distinct sites (fractional):
1 Ce 0.000 0.500 0.000 x2
2 In 0.000 0.000 0.500 x1
3 Sb 0.500 0.500 0.500 x1

The relative energies come out as 1 74; 2 0, with values in meV/atom.

## 1
VASP calculation (GGA-PBE) on a relaxed Ce2InSb crystal.

Output
The magnetization is 0.576 μB/atom.

Unit cell a=4.095 b=4.095 c=6.737 alpha=90.00 beta=90.00 gamma=90.00
Space group P4/mmm (No. 123)
Symmetry-distinct sites (fractional):
1 Ce 0.000 0.000 0.242 x2
2 In 0.500 0.500 0.500 x1
3 Sb 0.500 0.500 0.000 x1

## 2
VASP calculation (GGA-PBE) on a relaxed Ce2InSb crystal.

Output
The magnetization is 0.727 μB/atom.

Unit cell a=7.694 b=7.694 c=7.694 alpha=90.00 beta=90.00 gamma=90.00
Space group Fm-3m (No. 225)
Symmetry-distinct sites (fractional):
1 Ce 0.250 0.250 0.250 x8
2 In 0.000 0.000 0.000 x4
3 Sb 0.000 0.000 0.500 x4

The relative energies come out as 1 0; 2 90, with values in meV/atom.

## 1
VASP calculation (GGA-PBE) on a relaxed CeInSb2 crystal.

Output
The magnetization is 0.000 μB/atom.

Unit cell a=4.6289 b=4.6289 c=20.5345 alpha=90.00 beta=90.00 gamma=120.00
Space group R3m (No. 160, hexagonal axes)
Symmetry-distinct sites (fractional):
1 Ce 0.0000 0.0000 0.0000 x3
2 In 0.0000 0.0000 0.1679 x3
3 Sb 0.0000 0.0000 0.4078 x3
4 Sb 0.0000 0.0000 0.5831 x3

## 2
VASP calculation (GGA-PBE) on a relaxed CeInSb2 crystal.

Output
The magnetization is 0.302 μB/atom.

Unit cell a=3.3148 b=3.3148 c=37.1307 alpha=90.00 beta=90.00 gamma=120.00
Space group R-3m (No. 166, hexagonal axes)
Symmetry-distinct sites (fractional):
1 Ce 0.0000 0.0000 0.0000 x3
2 In 0.0000 0.0000 0.5000 x3
3 Sb 0.0000 0.0000 0.0861 x6

The relative energies come out as 1 0; 2 517, with values in meV/atom.

## 1
VASP calculation (GGA-PBE) on a relaxed CeSc2In crystal.

Output
The magnetization is 0.244 μB/atom.

Unit cell a=4.720 b=4.720 c=4.473 alpha=90.00 beta=90.00 gamma=90.00
Space group P4/mmm (No. 123)
Symmetry-distinct sites (fractional):
1 Ce 0.000 0.000 0.000 x1
2 Sc 0.000 0.500 0.500 x2
3 In 0.500 0.500 0.000 x1

## 2
VASP calculation (GGA-PBE) on a relaxed CeSc2In crystal.

Output
The magnetization is 0.288 μB/atom.

Unit cell a=5.248 b=6.569 c=5.933 alpha=90.00 beta=90.00 gamma=90.00
Space group Pmmn (No. 59, origin choice 2)
Symmetry-distinct sites (fractional):
1 Ce 0.250 0.250 0.124 x2
2 Sc 0.250 0.009 0.650 x4
3 In 0.250 0.750 0.198 x2

The relative energies come out as 1 0; 2 62, with values in meV/atom.